! MnNbGaO6, optimized geometry, DFT PBE with a Hubbard U; values from VASP
! SG: P4_2nm
! size of the total moment: 3.00 μB per formula unit
! energy: -0.5502 Ry per atom
&SYSTEM
  ibrav = 0, nat = 18, ntyp = 4
/
ATOMIC_SPECIES
Mn 54.94 Mn.upf
Nb 92.91 Nb.upf
Ga 69.72 Ga.upf
O 16.00 O.upf
CELL_PARAMETERS angstrom
4.6447 0.0000 0.0000
0.0000 4.6447 0.0000
0.0000 0.0000 9.0346
ATOMIC_POSITIONS crystal
Mn 0.0000 0.0000 0.0000
Mn 0.5000 0.5000 0.5000
Nb 0.0000 0.0000 0.6648
Nb 0.5000 0.5000 0.1648
Ga 0.0000 0.0000 0.3313
Ga 0.5000 0.5000 0.8313
O 0.1903 0.1903 0.1623
O 0.1930 0.1930 0.8370
O 0.2038 0.2038 0.5011
O 0.2962 0.7038 0.0011
O 0.3070 0.6930 0.3370
O 0.3097 0.6903 0.6623
O 0.6903 0.3097 0.6623
O 0.6930 0.3070 0.3370
O 0.7038 0.2962 0.0011
O 0.7962 0.7962 0.5011
O 0.8070 0.8070 0.8370
O 0.8097 0.8097 0.1623